First-principles (PBE) data for a relaxed SrTc2As crystal, as listed in the Alexandria database.

Cell lengths 3.078, 3.078, 8.729 Å; angles 90.00, 90.00, 113.36 degrees
Positions (direct):
Sr1 0.500 0.500 0.750
As1 0.500 0.500 0.250
Tc1 0.000 0.000 0.049
Tc2 0.000 0.000 0.451

- space-group type = Cmmm (65)
- total magnetization (Bohr magnetons per cell) = 0.0

First-principles (PBE) data for a relaxed LiLa2BiC crystal, as listed in the Alexandria database.

Cell lengths 5.225, 5.225, 4.564 Å; angles 90.00, 90.00, 90.00 degrees
Positions (direct):
C1 0.000 0.000 0.000
Li1 0.000 0.000 0.500
Bi1 0.500 0.500 0.500
La1 0.000 0.500 0.000
La2 0.500 0.000 0.000

- space-group type = P4/mmm (123)
- total magnetization (Bohr magnetons per cell) = 0.0

First-principles (PBE) data for a relaxed Fe4PdPt12 crystal, as listed in the Alexandria database.

Cell lengths 7.124, 7.124, 7.124 Å; angles 109.47, 109.47, 109.47 degrees
Each line ends with the local moment (μB).
Positions (direct):
Fe1 0.000 0.000 0.500  3.32
Fe2 0.500 0.000 0.000  3.32
Fe3 0.500 0.500 0.500  3.32
Fe4 0.000 0.500 0.000  3.32
Pd1 0.000 0.000 0.000  -0.03
Pt1 0.000 0.297 0.297  0.28
Pt2 0.000 0.703 0.703  0.28
Pt3 0.703 0.703 0.000  0.28
Pt4 0.297 0.297 0.000  0.28
Pt5 0.297 0.000 0.297  0.28
Pt6 0.703 0.000 0.703  0.28
Pt7 0.500 0.250 0.750  0.32
Pt8 0.500 0.750 0.250  0.32
Pt9 0.750 0.250 0.500  0.32
Pt10 0.250 0.750 0.500  0.32
Pt11 0.750 0.500 0.250  0.32
Pt12 0.250 0.500 0.750  0.32

- space-group type = Im-3m (229)
- total magnetization (Bohr magnetons per cell) = 16.8

no.,energy relative to the elements (kJ/mol of atoms),ρ (g/cm3),Fermi-level density of states (states/eV/atom)
1,65,7.841,0.86
2,-43,6.740,0.54
3,20,15.936,1.16